{
  "formula": "MgIn5Ag4",
  "functional": "GGA-PBE",
  "state": "optimized geometry",
  "lattice": [[-0.6050, 4.2844, 1.6079], [-5.5796, 0.0075, -2.1195], [0.3499, -5.4684, 8.0769]],
  "species": ["Mg", "In", "In", "In", "In", "In", "Ag", "Ag", "Ag", "Ag"],
  "fractional_positions": [[0.5000, 0.0000, 0.0000], [0.1298, 0.2831, 0.2596], [0.2043, 0.7980, 0.4085], [0.7957, 0.2020, 0.5915], [0.5000, 0.5000, 0.0000], [0.8702, 0.7169, 0.7404], [0.6410, 0.9641, 0.2821], [0.9605, 0.2185, 0.9211], [0.3590, 0.0359, 0.7179], [0.0395, 0.7815, 0.0789]],
  "m_tot_mub_per_fu": 0.000,
  "final_energy_ev_per_atom": -2.646,
  "spacegroup": "C2/m",
  "rho_g_cm3": 6.954,
  "ef_ev_per_atom": 0.02
}